Record 1
# Mn3Ag5F12 PBE+U optimized geometry
data_Mn3Ag5F12
_chemical_formula_sum 'Mn3 Ag5 F12'
_symmetry_space_group_name_H-M 'P 1'
_symmetry_Int_Tables_number 1
_cell_length_a 3.308
_cell_length_b 10.135
_cell_length_c 10.135
_cell_angle_alpha 120.00
_cell_angle_beta 90.00
_cell_angle_gamma 90.00
loop_
_symmetry_equiv_pos_as_xyz
'x,y,z'
loop_
_atom_site_label
_atom_site_fract_x
_atom_site_fract_y
_atom_site_fract_z
Mn1 0.500 0.660 0.000
Mn2 0.500 0.340 0.340
Mn3 0.500 0.000 0.660
Ag1 0.000 0.333 0.667
Ag2 0.000 0.667 0.333
Ag3 0.000 0.281 0.000
Ag4 0.000 0.719 0.719
Ag5 0.000 0.000 0.281
F1 0.000 0.796 0.000
F2 0.000 0.204 0.204
F3 0.000 0.000 0.796
F4 0.000 0.528 0.000
F5 0.000 0.472 0.472
F6 0.000 0.000 0.528
F7 0.500 0.217 0.447
F8 0.500 0.229 0.783
F9 0.500 0.783 0.229
F10 0.500 0.553 0.771
F11 0.500 0.771 0.553
F12 0.500 0.447 0.217
# DOS(E_F) in states/eV/f.u.: 8.727
# Total moment in Bohr magnetons per cell: 14.00
# Final energy in eV/cell: -94.6

---

Record 2
# MnAgF2 PBE+U optimized geometry
data_MnAgF2
_chemical_formula_sum 'Mn1 Ag1 F2'
_symmetry_space_group_name_H-M 'P 1'
_symmetry_Int_Tables_number 1
_cell_length_a 4.300
_cell_length_b 4.300
_cell_length_c 4.300
_cell_angle_alpha 60.00
_cell_angle_beta 60.00
_cell_angle_gamma 60.00
loop_
_symmetry_equiv_pos_as_xyz
'x,y,z'
loop_
_atom_site_label
_atom_site_fract_x
_atom_site_fract_y
_atom_site_fract_z
Mn1 0.000 0.000 0.000
Ag1 0.500 0.500 0.500
F1 0.250 0.250 0.250
F2 0.750 0.750 0.750
# DOS(E_F) in states/eV/f.u.: 0.965
# Total moment in Bohr magnetons per cell: 5.10
# Final energy in eV/cell: -18.7

---

Record 3
# Mn2AgF PBE+U optimized geometry
data_Mn2AgF
_chemical_formula_sum 'Mn2 Ag1 F1'
_symmetry_space_group_name_H-M 'P 1'
_symmetry_Int_Tables_number 1
_cell_length_a 4.624
_cell_length_b 4.624
_cell_length_c 4.624
_cell_angle_alpha 60.00
_cell_angle_beta 60.00
_cell_angle_gamma 60.00
loop_
_symmetry_equiv_pos_as_xyz
'x,y,z'
loop_
_atom_site_label
_atom_site_fract_x
_atom_site_fract_y
_atom_site_fract_z
Mn1 0.250 0.250 0.250
Mn2 0.750 0.750 0.750
Ag1 0.500 0.500 0.500
F1 0.000 0.000 0.000
# DOS(E_F) in states/eV/f.u.: 1.513
# Total moment in Bohr magnetons per cell: 9.68
# Final energy in eV/cell: -20.5

---

Record 4
# Mn2Ag4F9 PBE+U optimized geometry
data_Mn2Ag4F9
_chemical_formula_sum 'Mn4 Ag8 F18'
_symmetry_space_group_name_H-M 'P 1'
_symmetry_Int_Tables_number 1
_cell_length_a 5.914
_cell_length_b 5.916
_cell_length_c 15.360
_cell_angle_alpha 90.45
_cell_angle_beta 89.12
_cell_angle_gamma 61.70
loop_
_symmetry_equiv_pos_as_xyz
'x,y,z'
loop_
_atom_site_label
_atom_site_fract_x
_atom_site_fract_y
_atom_site_fract_z
Mn1 0.980 0.021 0.353
Mn2 0.008 0.991 0.149
Mn3 0.020 0.979 0.647
Mn4 0.992 0.009 0.851
Ag1 0.325 0.334 0.983
Ag2 0.340 0.350 0.485
Ag3 0.675 0.666 0.017
Ag4 0.344 0.338 0.193
Ag5 0.660 0.650 0.515
Ag6 0.656 0.678 0.312
Ag7 0.344 0.322 0.688
Ag8 0.656 0.662 0.807
F1 0.026 0.242 0.768
F2 0.254 0.735 0.752
F3 0.743 0.008 0.768
F4 0.974 0.758 0.232
F5 0.746 0.265 0.248
F6 0.257 0.992 0.232
F7 0.677 0.993 0.409
F8 0.975 0.338 0.409
F9 0.297 0.712 0.398
F10 0.724 0.010 0.085
F11 0.304 0.667 0.085
F12 0.032 0.256 0.086
F13 0.323 0.007 0.591
F14 0.025 0.662 0.591
F15 0.703 0.288 0.602
F16 0.276 0.990 0.915
F17 0.696 0.333 0.915
F18 0.968 0.744 0.914
# DOS(E_F) in states/eV/f.u.: 1.975
# Total moment in Bohr magnetons per cell: 17.92
# Final energy in eV/cell: -137.1

---

Record 5
# MnAgF3 PBE+U optimized geometry
data_MnAgF3
_chemical_formula_sum 'Mn1 Ag1 F3'
_symmetry_space_group_name_H-M 'P 1'
_symmetry_Int_Tables_number 1
_cell_length_a 4.194
_cell_length_b 4.194
_cell_length_c 4.194
_cell_angle_alpha 90.02
_cell_angle_beta 89.97
_cell_angle_gamma 89.84
loop_
_symmetry_equiv_pos_as_xyz
'x,y,z'
loop_
_atom_site_label
_atom_site_fract_x
_atom_site_fract_y
_atom_site_fract_z
Mn1 0.498 0.488 0.500
Ag1 0.998 0.989 0.000
F1 0.498 0.488 0.000
F2 0.498 0.988 0.500
F3 0.998 0.488 0.500
# DOS(E_F) in states/eV/f.u.: 0.396
# Total moment in Bohr magnetons per cell: 4.99
# Final energy in eV/cell: -25.6

---

Record 6
# MnAgF3 PBE+U optimized geometry
data_MnAgF3
_chemical_formula_sum 'Mn1 Ag1 F3'
_symmetry_space_group_name_H-M 'P 1'
_symmetry_Int_Tables_number 1
_cell_length_a 4.405
_cell_length_b 4.405
_cell_length_c 4.405
_cell_angle_alpha 90.00
_cell_angle_beta 90.00
_cell_angle_gamma 90.00
loop_
_symmetry_equiv_pos_as_xyz
'x,y,z'
loop_
_atom_site_label
_atom_site_fract_x
_atom_site_fract_y
_atom_site_fract_z
Mn1 0.500 0.500 0.500
Ag1 0.000 0.000 0.000
F1 0.000 0.500 0.000
F2 0.000 0.000 0.500
F3 0.500 0.000 0.000
# DOS(E_F) in states/eV/f.u.: 3.131
# Total moment in Bohr magnetons per cell: 5.60
# Final energy in eV/cell: -21.4

---

Record 7
# MnAgF2 PBE+U optimized geometry
data_MnAgF2
_chemical_formula_sum 'Mn1 Ag1 F2'
_symmetry_space_group_name_H-M 'P 1'
_symmetry_Int_Tables_number 1
_cell_length_a 7.693
_cell_length_b 7.693
_cell_length_c 7.693
_cell_angle_alpha 24.14
_cell_angle_beta 24.14
_cell_angle_gamma 24.14
loop_
_symmetry_equiv_pos_as_xyz
'x,y,z'
loop_
_atom_site_label
_atom_site_fract_x
_atom_site_fract_y
_atom_site_fract_z
Mn1 0.000 0.000 0.000
Ag1 0.500 0.500 0.500
F1 0.915 0.915 0.915
F2 0.085 0.085 0.085
# DOS(E_F) in states/eV/f.u.: 1.096
# Total moment in Bohr magnetons per cell: 4.44
# Final energy in eV/cell: -18.7

---

Record 8
# MnAgF2 PBE+U optimized geometry
data_MnAgF2
_chemical_formula_sum 'Mn2 Ag2 F4'
_symmetry_space_group_name_H-M 'P 1'
_symmetry_Int_Tables_number 1
_cell_length_a 5.638
_cell_length_b 5.638
_cell_length_c 6.413
_cell_angle_alpha 63.92
_cell_angle_beta 63.92
_cell_angle_gamma 90.00
loop_
_symmetry_equiv_pos_as_xyz
'x,y,z'
loop_
_atom_site_label
_atom_site_fract_x
_atom_site_fract_y
_atom_site_fract_z
Mn1 0.500 0.500 0.000
Mn2 0.250 0.750 0.500
Ag1 0.000 0.000 0.000
Ag2 0.750 0.250 0.500
F1 0.508 0.125 0.250
F2 0.242 0.625 0.250
F3 0.375 0.492 0.750
F4 0.875 0.758 0.750
# DOS(E_F) in states/eV/f.u.: 0.257
# Total moment in Bohr magnetons per cell: 10.00
# Final energy in eV/cell: -39.7

---

Record 9
# MnAgF6 PBE+U optimized geometry
data_MnAgF6
_chemical_formula_sum 'Mn1 Ag1 F6'
_symmetry_space_group_name_H-M 'P 1'
_symmetry_Int_Tables_number 1
_cell_length_a 5.707
_cell_length_b 5.707
_cell_length_c 5.707
_cell_angle_alpha 60.00
_cell_angle_beta 60.00
_cell_angle_gamma 60.00
loop_
_symmetry_equiv_pos_as_xyz
'x,y,z'
loop_
_atom_site_label
_atom_site_fract_x
_atom_site_fract_y
_atom_site_fract_z
Mn1 0.000 0.000 0.000
Ag1 0.500 0.500 0.500
F1 0.770 0.770 0.230
F2 0.770 0.230 0.230
F3 0.230 0.770 0.770
F4 0.230 0.230 0.770
F5 0.230 0.770 0.230
F6 0.770 0.230 0.770
# DOS(E_F) in states/eV/f.u.: 3.431
# Total moment in Bohr magnetons per cell: 4.04
# Final energy in eV/cell: -35.3

---

Record 10
# MnAgF4 PBE+U optimized geometry
data_MnAgF4
_chemical_formula_sum 'Mn2 Ag2 F8'
_symmetry_space_group_name_H-M 'P 1'
_symmetry_Int_Tables_number 1
_cell_length_a 6.162
_cell_length_b 6.162
_cell_length_c 6.162
_cell_angle_alpha 108.97
_cell_angle_beta 108.97
_cell_angle_gamma 110.49
loop_
_symmetry_equiv_pos_as_xyz
'x,y,z'
loop_
_atom_site_label
_atom_site_fract_x
_atom_site_fract_y
_atom_site_fract_z
Mn1 0.746 0.746 0.000
Mn2 0.496 0.996 0.500
Ag1 0.249 0.249 0.000
Ag2 0.999 0.499 0.500
F1 0.304 0.988 0.684
F2 0.698 0.382 0.683
F3 0.738 0.554 0.184
F4 0.132 0.948 0.183
F5 0.370 0.554 0.816
F6 0.765 0.948 0.817
F7 0.698 0.015 0.317
F8 0.304 0.620 0.316
# Total moment in Bohr magnetons per cell: 7.96
# Final energy in eV/cell: -59.3